Arrangement w

# Ta3FeW (GGA-PBE, relaxed)
data_Ta3FeW
_chemical_formula_sum 'Ta3 Fe1 W1'
_cell_length_a 4.811
_cell_length_b 4.811
_cell_length_c 4.811
_cell_angle_alpha 90.00
_cell_angle_beta 90.00
_cell_angle_gamma 90.00
_space_group_name_H-M_alt 'P m -3 m'
_space_group_IT_number 221
_space_group_name_Hall '-P 4 2 3'
loop_
_atom_site_label
_atom_site_fract_x
_atom_site_fract_y
_atom_site_fract_z
_atom_site_occupancy
Ta1 0.000 0.000 0.500 1
Fe1 0.500 0.500 0.500 1
W1 0.000 0.000 0.000 1
# Total magnetic moment ... 0.00 μB per cell


Arrangement x

# Ta3FeW (GGA-PBE, relaxed)
data_Ta3FeW
_chemical_formula_sum 'Ta3 Fe1 W1'
_cell_length_a 4.527
_cell_length_b 4.527
_cell_length_c 4.527
_cell_angle_alpha 90.00
_cell_angle_beta 90.00
_cell_angle_gamma 90.00
_space_group_name_H-M_alt 'P m -3 m'
_space_group_IT_number 221
_space_group_name_Hall '-P 4 2 3'
loop_
_atom_site_label
_atom_site_fract_x
_atom_site_fract_y
_atom_site_fract_z
_atom_site_occupancy
Ta1 0.000 0.000 0.500 1
Fe1 0.000 0.000 0.000 1
W1 0.500 0.500 0.500 1
# Total magnetic moment ... 0.00 μB per cell


Among the structures above, stability is greatest for arrangement x.